No. 1
VASP calculation (PBE) on VCo2Ni2 after structural relaxation.

The structure in POSCAR format:
```
VCo2Ni2
1.0
0.254 -4.300 -0.806
1.914 0.062 3.868
-3.397 2.656 0.763
Ni Co V
2 2 1
direct
0.800 0.200 0.400
0.200 0.800 0.600
0.400 0.595 0.195
0.600 0.405 0.805
0.000 0.000 0.000
```

## Properties
Energy: -7.08 eV/atom
Magnetic moment: 2.82 μB per cell
Energy above the most stable polymorph in this dataset: 0 meV/atom
Formation energy from the elements: -99 meV per atom
SG: C2/m

***

No. 2
VASP calculation (PBE) on LaPm4Sm2Mg after structural relaxation.

The structure in POSCAR format:
```
LaPm4Sm2Mg
1.0
-8.276 -4.706 -0.462
0.997 -1.453 -9.352
8.290 -0.483 8.440
Pm La Mg Sm
8 2 2 4
direct
0.764 0.737 0.501
0.243 0.744 0.993
0.237 0.264 0.001
0.244 0.743 0.493
0.756 0.257 0.507
0.763 0.736 0.999
0.757 0.256 0.007
0.236 0.263 0.499
0.000 0.000 0.000
0.500 0.500 0.500
0.000 0.500 0.000
0.000 0.500 0.500
0.500 0.000 0.500
0.500 0.000 0.000
0.000 0.000 0.500
0.500 0.500 0.000
```

## Properties
Energy: -4.06 eV/atom
Magnetic moment: 0.01 μB per cell
Formation energy from the elements: 313 meV per atom
SG: C2/m

***

No. 3
VASP calculation (PBE) on Cs2YGaMo after structural relaxation.

The structure in POSCAR format:
```
Cs2YGaMo
1.0
6.872 0.000 0.000
0.000 5.332 0.000
0.000 0.000 6.872
Mo Cs Y Ga
1 2 1 1
direct
0.500 0.500 0.500
0.000 0.000 0.500
0.500 0.000 0.000
0.000 0.000 0.000
0.000 0.500 0.000
```

## Properties
Energy: -2.80 eV/atom
Magnetic moment: 6.32 μB per cell
Formation energy from the elements: 1608 meV per atom
SG: P4/mmm